Here is SrZn4Cd8 after structural relaxation from the Alexandria database. Energies are from PBE.

Summary:
- ΔE_f (eV per atom) = -0.106
- V (Å³ per atom) = 21.096
- electronic total energy (eV per formula unit) = -15.476
- total magnetic moment (μB/f.u.) = 0.00
- mass density (g cm⁻³) = 7.56

Lattice parameters (Å, degrees): 9.848 9.848 5.656 90.00 90.00 90.00
Space group I4/mmm (No. 139)
Asymmetric unit:
Sr (0.000, 0.000, 0.000) (multiplicity 2)
Zn (0.250, 0.250, 0.250) (multiplicity 8)
Cd (0.000, 0.219, 0.500) (multiplicity 8)
Cd (0.000, 0.349, 0.000) (multiplicity 8)

Here is Sr3Zn8Cd3 after structural relaxation from the Alexandria database. Energies are from PBE.

Summary:
- ΔE_f (eV per atom) = -0.230
- V (Å³ per atom) = 22.188
- electronic total energy (eV per formula unit) = -21.204
- total magnetic moment (μB/f.u.) = 0.00
- mass density (g cm⁻³) = 6.01

Lattice parameters (Å, degrees): 4.636 9.473 14.145 90.00 90.00 90.00
Space group Immm (No. 71)
Asymmetric unit:
Sr (0.000, 0.000, 0.000) (multiplicity 2)
Sr (0.000, 0.000, 0.300) (multiplicity 4)
Zn (0.000, 0.274, 0.145) (multiplicity 8)
Zn (0.000, 0.361, 0.332) (multiplicity 8)
Cd (0.000, 0.209, 0.500) (multiplicity 4)
Cd (0.000, 0.500, 0.000) (multiplicity 2)

Here is Sr3ZnCd2 after structural relaxation from the Alexandria database. Energies are from PBE.

Summary:
- ΔE_f (eV per atom) = -0.277
- V (Å³ per atom) = 32.176
- electronic total energy (eV per formula unit) = -9.812
- distance to the lowest polymorph of the same formula (meV/atom) = 2
- total magnetic moment (μB/f.u.) = 0.00
- mass density (g cm⁻³) = 4.76

Lattice parameters (Å, degrees): 4.005 4.005 12.039 90.00 90.00 90.00
Space group P4/mmm (No. 123)
Asymmetric unit:
Sr (0.000, 0.000, 0.000) (multiplicity 1)
Sr (0.000, 0.000, 0.342) (multiplicity 2)
Zn (0.500, 0.500, 0.500) (multiplicity 1)
Cd (0.500, 0.500, 0.170) (multiplicity 2)

Here is SrZn2Cd10 after structural relaxation from the Alexandria database. Energies are from PBE.

Summary:
- ΔE_f (eV per atom) = -0.109
- V (Å³ per atom) = 22.468
- electronic total energy (eV per formula unit) = -14.797
- total magnetic moment (μB/f.u.) = 0.00
- mass density (g cm⁻³) = 7.63

Lattice parameters (Å, degrees): 5.836 14.109 14.189 90.00 90.00 90.00
Space group Fmmm (No. 69)
Asymmetric unit:
Sr (0.000, 0.000, 0.000) (multiplicity 4)
Zn (0.250, 0.000, 0.250) (multiplicity 8)
Cd (0.000, 0.106, 0.387) (multiplicity 16)
Cd (0.000, 0.171, 0.180) (multiplicity 16)
Cd (0.250, 0.250, 0.000) (multiplicity 8)

Here is SrZn3Cd3 after structural relaxation from the Alexandria database. Energies are from PBE.

Summary:
- ΔE_f (eV per atom) = -0.044
- V (Å³ per atom) = 23.249
- electronic total energy (eV per formula unit) = -8.560
- total magnetic moment (μB/f.u.) = 0.00
- mass density (g cm⁻³) = 6.34

Lattice parameters (Å, degrees): 9.272 4.362 9.285 90.00 119.93 90.00
Space group P2_1/m (No. 11)
Asymmetric unit:
Sr (0.166, 0.250, 0.333) (multiplicity 2)
Zn (0.046, 0.250, 0.598) (multiplicity 2)
Zn (0.098, 0.750, 0.052) (multiplicity 2)
Zn (0.448, 0.750, 0.546) (multiplicity 2)
Cd (0.230, 0.250, 0.946) (multiplicity 2)
Cd (0.284, 0.750, 0.730) (multiplicity 2)
Cd (0.446, 0.750, 0.217) (multiplicity 2)

Here is SrZnCd2 after structural relaxation from the Alexandria database. Energies are from PBE.

Summary:
- ΔE_f (eV per atom) = -0.179
- V (Å³ per atom) = 24.831
- electronic total energy (eV per formula unit) = -5.504
- total magnetic moment (μB/f.u.) = 0.00
- mass density (g cm⁻³) = 6.32

Lattice parameters (Å, degrees): 5.187 5.187 7.383 90.00 90.00 90.00
Space group I-4m2 (No. 119)
Asymmetric unit:
Sr (0.000, 0.000, 0.000) (multiplicity 2)
Zn (0.000, 0.500, 0.750) (multiplicity 2)
Cd (0.000, 0.000, 0.500) (multiplicity 2)
Cd (0.000, 0.500, 0.250) (multiplicity 2)

Copy entry 4 word for word.
Here is SrZn2Cd10 after structural relaxation from the Alexandria database. Energies are from PBE.

Summary:
- ΔE_f (eV per atom) = -0.109
- V (Å³ per atom) = 22.468
- electronic total energy (eV per formula unit) = -14.797
- total magnetic moment (μB/f.u.) = 0.00
- mass density (g cm⁻³) = 7.63

Lattice parameters (Å, degrees): 5.836 14.109 14.189 90.00 90.00 90.00
Space group Fmmm (No. 69)
Asymmetric unit:
Sr (0.000, 0.000, 0.000) (multiplicity 4)
Zn (0.250, 0.000, 0.250) (multiplicity 8)
Cd (0.000, 0.106, 0.387) (multiplicity 16)
Cd (0.000, 0.171, 0.180) (multiplicity 16)
Cd (0.250, 0.250, 0.000) (multiplicity 8)